DFT (PBE-GGA) results for an optimized crystal structure of MnHgI6.

Cell lengths 7.5563, 13.4975, 8.1161 Å; angles 90.00, 115.12, 90.00 degrees
Sites, in units of the cell vectors:
Mn 0.0000 0.0000 0.0000
Mn 0.5000 0.5000 0.0000
Hg 0.0000 0.0000 0.5000
Hg 0.5000 0.5000 0.5000
I 0.0622 0.1477 0.2657
I 0.0622 0.8523 0.2657
I 0.0721 0.5000 0.8663
I 0.4279 0.0000 0.1337
I 0.4378 0.3523 0.7343
I 0.4378 0.6477 0.7343
I 0.5622 0.3523 0.2657
I 0.5622 0.6477 0.2657
I 0.5721 0.0000 0.8663
I 0.9279 0.5000 0.1337
I 0.9378 0.1477 0.7343
I 0.9378 0.8523 0.7343

Summary:
Magnetic moment in μB per formula unit: 4.71
SG: No. 12
Formation energy from raw total energies in eV per atom: -0.16